# 1
Density functional theory data (PBE) for a relaxed structure of Sm8AlAg2.

The mass density comes out at 7.48 g cm⁻³. As for the uncorrected energy: -0.1625 Ha/atom. As for the magnetization: 0.00 μB/f.u.

It has space group C2/m (No. 12), with a = 16.311 Å, b = 5.364 Å, c = 8.532 Å, α = 90.00°, β = 120.68° and γ = 90.00°. Symmetry generates all atoms from Sm at (0.070, 0.000, 0.221), Sm at (0.095, 0.500, 0.948), Sm at (0.135, 0.000, 0.689), Sm at (0.181, 0.500, 0.459), Al at (0.000, 0.500, 0.500) and Ag at (0.226, 0.000, 0.116).

# 2
Density functional theory data (PBE) for a relaxed structure of SmAl4Ag4.

The mass density comes out at 6.54 g cm⁻³. As for the uncorrected energy: -0.1323 Ha/atom. As for the magnetization: 0.00 μB/f.u.

It has space group P4_2/nmc (No. 137, origin choice 2), with a = 6.203 Å, b = 6.203 Å, c = 9.106 Å, α = 90.00°, β = 90.00° and γ = 90.00°. Symmetry generates all atoms from Sm at (0.250, 0.750, 0.250), Al at (0.032, 0.250, 0.050) and Ag at (0.027, 0.250, 0.342).

# 3
Density functional theory data (PBE) for a relaxed structure of SmAl3Ag2.

The mass density comes out at 6.03 g cm⁻³. As for the uncorrected energy: -0.1409 Ha/atom. For the energy above the most stable polymorph in this dataset, the calculation gives 0.0 kJ per mole of atoms. As for the magnetization: 0.00 μB/f.u.

It has space group C2/m (No. 12), with a = 15.734 Å, b = 4.432 Å, c = 7.840 Å, α = 90.00°, β = 115.78° and γ = 90.00°. Symmetry generates all atoms from Sm at (0.145, 0.000, 0.101), Al at (0.010, 0.000, 0.344), Al at (0.138, 0.500, 0.790), Al at (0.185, 0.500, 0.462), Ag at (0.019, 0.500, 0.185) and Ag at (0.181, 0.000, 0.667).

# 4
Density functional theory data (PBE) for a relaxed structure of Sm3Al2Ag3.

The mass density comes out at 7.24 g cm⁻³. As for the uncorrected energy: -0.1509 Ha/atom. As for the magnetization: 0.00 μB/f.u.

It has space group Cmcm (No. 63), with a = 4.598 Å, b = 10.924 Å, c = 15.146 Å, α = 90.00°, β = 90.00° and γ = 90.00°. Symmetry generates all atoms from Sm at (0.000, 0.090, 0.105), Sm at (0.000, 0.389, 0.250), Al at (0.000, 0.203, 0.600), Ag at (0.000, 0.326, 0.750) and Ag at (0.000, 0.381, 0.041).